# 1
Here is a relaxed Sr3Pm crystal from Alexandria via LeMat-Bulk. Energies are from PBE.

a = 8.152 Å, b = 8.152 Å, c = 6.580 Å
α = 90.00°, β = 90.00°, γ = 120.00°
Fractional positions:
Sr 0.172 0.343 0.250
Sr 0.172 0.828 0.250
Sr 0.657 0.828 0.250
Sr 0.828 0.657 0.750
Sr 0.828 0.172 0.750
Sr 0.343 0.172 0.750
Pm 0.333 0.667 0.750
Pm 0.667 0.333 0.250

Values from the calculation:
E_tot	-0.1678	Ry/atom
formation energy from the elements	0.166	eV per atom


# 2
Here is a relaxed SrBiP3 crystal from Alexandria via LeMat-Bulk. Energies are from PBE.

a = 5.276 Å, b = 5.276 Å, c = 5.276 Å
α = 90.00°, β = 90.00°, γ = 90.00°
Fractional positions:
P 0.500 0.000 0.000
P 0.000 0.500 0.000
P 0.000 0.000 0.500
Sr 0.500 0.500 0.500
Bi 0.000 0.000 0.000

Values from the calculation:
E_tot	-0.2860	Ry/atom
formation energy from the elements	0.468	eV per atom


# 3
Here is a relaxed Tl2BiSb2 crystal from Alexandria via LeMat-Bulk. Energies are from PBE.

a = 4.419 Å, b = 4.419 Å, c = 8.748 Å
α = 75.37°, β = 75.37°, γ = 90.00°
Fractional positions:
Tl 0.250 0.750 0.500
Tl 0.750 0.250 0.500
Sb 0.590 0.590 0.819
Sb 0.410 0.410 0.181
Bi 0.000 0.000 0.000

Values from the calculation:
E_tot	-0.2338	Ry/atom
raw formation energy	0.1902	eV per atom


| no. | distance to the lowest polymorph of the same formula (meV/atom) |
| --- | --- |
| 1 | 10 |
| 2 | 0 |
| 3 | 167 |